[1]
The following is a DFT calculation (PBE-GGA) of a geometry-optimized Na2CrBTe structure.

```
Na2CrBTe
1.0
-3.3227 2.0215 -4.1731
1.5727 -2.6763 -2.5487
-4.0635 -3.7425 1.4225
Na Cr B Te
2 1 1 1
Direct
0.5000 0.0000 0.0000 Na
0.0000 0.0000 0.5000 Na
0.0000 0.0000 0.0000 Cr
0.0000 0.5000 0.0000 B
0.5000 0.5000 0.5000 Te
```

## Properties
Its total energy is -3.65 eV/atom. The density of states at the Fermi level is 3.0 states/eV/f.u.

---

[2]
The following is a DFT calculation (PBE-GGA) of a geometry-optimized Th6SnGe2Sb3 structure.

```
Th6SnGe2Sb3
1.0
-3.1557 -1.0951 -2.9050
1.5703 -8.6562 1.5572
-5.2341 2.8587 7.9810
Th Sb Sn Ge
6 3 1 2
Direct
0.3317 0.8990 0.6634 Th
0.0076 0.2527 0.0151 Th
0.6683 0.1010 0.3366 Th
0.9924 0.7473 0.9849 Th
0.6720 0.5722 0.3440 Th
0.3280 0.4278 0.6560 Th
0.5000 0.5000 0.0000 Sb
0.1633 0.8331 0.3266 Sb
0.8367 0.1669 0.6734 Sb
0.5000 0.0000 0.0000 Sn
0.1677 0.3346 0.3355 Ge
0.8323 0.6654 0.6645 Ge
```

## Properties
Its total energy is -6.66 eV/atom. The density of states at the Fermi level is 6.8 states/eV/f.u.

---

[3]
The following is a DFT calculation (PBE-GGA) of a geometry-optimized Ca3Pm2PrTe6 structure.

```
Ca3Pm2PrTe6
1.0
-1.4431 3.5200 2.3149
-5.5561 2.2045 -6.8157
-4.6004 -7.7372 4.6136
Te Pr Ca Pm
6 1 3 2
Direct
0.3330 0.4170 0.6661 Te
0.6670 0.5830 0.3339 Te
0.3311 0.9189 0.6622 Te
0.9991 0.2556 0.9982 Te
0.6689 0.0811 0.3378 Te
0.0009 0.7444 0.0018 Te
0.5000 0.0000 0.0000 Pr
0.1659 0.8318 0.3317 Ca
0.5000 0.5000 0.0000 Ca
0.8341 0.1682 0.6683 Ca
0.8350 0.6707 0.6700 Pm
0.1650 0.3293 0.3300 Pm
```

## Properties
Its total energy is -4.77 eV/atom. The density of states at the Fermi level is 5.2 states/eV/f.u.